DFT (GGA-PBE) results for a geometry-optimized Pm2Al3Si structure.

raw formation energy	-0.566	eV per atom
space-group type	No. 25

abc: 4.1585 4.3194 7.4741
angles: 90.00 90.00 90.00
With the nearest neighbours (Å) after each atom.
Sites, in units of the cell vectors:
Pm 0.0000 0.0000 0.0000  2 Si 3.20, 10 Al 3.23-3.32
Pm 0.0000 0.5000 0.4835  8 Al 3.18-3.28, 4 Si 3.22
Al 0.5000 0.0000 0.6533  1 Si 2.45, 2 Al 2.50
Al 0.5000 0.5000 0.1607  2 Si 2.48, 1 Al 2.52
Al 0.5000 0.5000 0.8230  3 Al 2.50-2.52
Si 0.5000 0.0000 0.3248  3 Al 2.45-2.48

DFT (GGA-PBE) results for a geometry-optimized CsNbGe3 structure.

formation enthalpy at 0 K	108	meV per atom
space-group type	No. 221

abc: 5.1669 5.1669 5.1669
angles: 90.00 90.00 90.00
With the nearest neighbours (Å) after each atom.
Sites, in units of the cell vectors:
Cs 0.0000 0.0000 0.0000  12 Ge 3.65
Nb 0.5000 0.5000 0.5000  6 Ge 2.58
Ge 0.0000 0.5000 0.5000  2 Nb 2.58
Ge 0.5000 0.0000 0.5000  2 Nb 2.58
Ge 0.5000 0.5000 0.0000  2 Nb 2.58

DFT (GGA-PBE) results for a geometry-optimized BeVPS2 structure.

raw formation energy	0.486	eV per atom
space-group type	No. 123

abc: 4.4617 4.4617 4.7101
angles: 90.00 90.00 90.00
With the nearest neighbours (Å) after each atom.
Sites, in units of the cell vectors:
Be 0.0000 0.0000 0.0000  4 P 3.15, 8 S 3.24
V 0.5000 0.5000 0.5000  4 S 2.23, 2 P 2.36
P 0.5000 0.5000 0.0000  2 V 2.36
S 0.0000 0.5000 0.5000  2 V 2.23
S 0.5000 0.0000 0.5000  2 V 2.23

DFT (GGA-PBE) results for a geometry-optimized Ti8ZnN2 structure.

raw formation energy	-0.278	eV per atom
space-group type	No. 12

abc: 6.5598 6.5598 5.2144
angles: 99.15 99.15 52.44
With the nearest neighbours (Å) after each atom.
Sites, in units of the cell vectors:
Ti 0.1394 0.1394 0.7061  1 N 1.95
Ti 0.1417 0.6682 0.7974  1 N 1.98
Ti 0.3014 0.3014 0.2184  1 N 1.94
Ti 0.3318 0.8583 0.2026  1 N 1.98
Ti 0.6682 0.1417 0.7974  1 N 1.98
Ti 0.6986 0.6986 0.7816  1 N 1.94
Ti 0.8583 0.3318 0.2026  1 N 1.98
Ti 0.8606 0.8606 0.2939  1 N 1.95
Zn 0.5000 0.5000 0.5000  6 Ti 2.53-2.57
N 0.3043 0.3043 0.8473  4 Ti 1.94-1.98
N 0.6957 0.6957 0.1527  4 Ti 1.94-1.98

DFT (GGA-PBE) results for a geometry-optimized NaTl2AgHg structure.

formation enthalpy at 0 K	135	meV per atom
space-group type	No. 123

abc: 5.4973 5.4973 5.5638
angles: 90.00 90.00 90.00
With the nearest neighbours (Å) after each atom.
Sites, in units of the cell vectors:
Na 0.0000 0.0000 0.0000  2 Ag 2.78
Tl 0.0000 0.5000 0.5000  2 Ag 2.75
Tl 0.5000 0.0000 0.5000  2 Ag 2.75
Ag 0.0000 0.0000 0.5000  4 Tl 2.75, 2 Na 2.78
Hg 0.5000 0.5000 0.0000  4 Na 3.89, 8 Tl 3.91

DFT (GGA-PBE) results for a geometry-optimized CePrDyTh structure.

formation enthalpy at 0 K	45	meV per atom
space-group type	No. 160

abc: 11.7674 11.7674 11.7674
angles: 17.45 17.45 17.45
With the nearest neighbours (Å) after each atom.
Sites, in units of the cell vectors:
Ce 0.0000 0.0000 0.0000  3 Th 3.45, 3 Dy 3.49, 6 Ce 3.57
Pr 0.1689 0.1689 0.1689  6 Pr 3.57, 3 Th 3.60, 3 Dy 3.68
Dy 0.4144 0.4144 0.4144  3 Ce 3.49, 6 Dy 3.57, 3 Pr 3.68
Th 0.5872 0.5872 0.5872  3 Ce 3.45, 6 Th 3.57, 3 Pr 3.60

DFT (GGA-PBE) results for a geometry-optimized V3ReSe structure.

raw formation energy	0.943	eV per atom
space-group type	No. 221

abc: 4.3988 4.3988 4.3988
angles: 90.00 90.00 90.00
With the nearest neighbours (Å) after each atom.
Sites, in units of the cell vectors:
V 0.0000 0.0000 0.5000  2 Se 2.20
V 0.0000 0.5000 0.0000  2 Se 2.20
V 0.5000 0.0000 0.0000  2 Se 2.20
Re 0.5000 0.5000 0.5000  12 V 3.11
Se 0.0000 0.0000 0.0000  6 V 2.20

DFT (GGA-PBE) results for a geometry-optimized Ti2NbIn2 structure.

formation enthalpy at 0 K	-67	meV per atom
space-group type	No. 12

abc: 5.4503 5.4503 7.2378
angles: 129.94 129.94 37.35
With the nearest neighbours (Å) after each atom.
Sites, in units of the cell vectors:
Ti 0.0975 0.0975 0.3669  2 Nb 2.74, 2 Ti 2.91, 5 In 2.96-3.00
Ti 0.9025 0.9025 0.6331  2 Nb 2.74, 2 Ti 2.91, 5 In 2.96-3.00
Nb 0.5000 0.5000 0.0000  4 Ti 2.74, 4 In 2.97
In 0.3084 0.3084 0.2201  5 Ti 2.96-3.00, 3 Nb 2.97-3.28, 3 In 3.07-3.22
In 0.6916 0.6916 0.7799  5 Ti 2.96-3.00, 3 Nb 2.97-3.28, 3 In 3.07-3.22

DFT (GGA-PBE) results for a geometry-optimized Y3Cd2 structure.

formation enthalpy at 0 K	-168	meV per atom
space-group type	No. 43

abc: 8.5643 6.3789 9.7209
angles: 60.09 40.21 79.70
With the nearest neighbours (Å) after each atom.
Sites, in units of the cell vectors:
Y 0.0000 0.0000 0.0000  6 Cd 3.18-3.41, 2 Y 3.52
Y 0.2500 0.2500 0.2500  6 Cd 3.18-3.41, 2 Y 3.52
Y 0.3629 0.6464 0.4336  5 Cd 3.21-3.44, 5 Y 3.27-3.58
Y 0.6464 0.3629 0.5571  5 Cd 3.21-3.44, 5 Y 3.27-3.58
Y 0.6929 0.8164 0.6036  5 Cd 3.21-3.44, 5 Y 3.27-3.58
Y 0.8164 0.6929 0.8871  5 Cd 3.21-3.44, 5 Y 3.27-3.58
Cd 0.1082 0.4644 0.9877  8 Y 3.18-3.44, 2 Cd 3.52
Cd 0.2623 0.8103 0.1418  8 Y 3.18-3.44, 2 Cd 3.52
Cd 0.4644 0.1082 0.4397  8 Y 3.18-3.44, 2 Cd 3.52
Cd 0.8103 0.2623 0.7856  8 Y 3.18-3.44, 2 Cd 3.52

DFT (GGA-PBE) results for a geometry-optimized Pb2Se structure.

raw formation energy	0.269	eV per atom
space-group type	No. 227

abc: 6.3968 6.3968 6.3968
angles: 60.00 60.00 60.00
With the nearest neighbours (Å) after each atom.
Sites, in units of the cell vectors:
Pb 0.0000 0.0000 0.0000  6 Pb 3.20
Pb 0.0000 0.0000 0.5000  6 Pb 3.20
Pb 0.0000 0.5000 0.0000  6 Pb 3.20
Pb 0.5000 0.0000 0.0000  6 Pb 3.20
Se 0.3750 0.3750 0.3750  12 Pb 3.75, 4 Se 3.92
Se 0.6250 0.6250 0.6250  12 Pb 3.75, 4 Se 3.92

DFT (GGA-PBE) results for a geometry-optimized SbAuBrN2 structure.

raw formation energy	1.556	eV per atom
space-group type	No. 123

abc: 4.1956 4.1956 6.0073
angles: 90.00 90.00 90.00
With the nearest neighbours (Å) after each atom.
Sites, in units of the cell vectors:
Sb 0.0000 0.0000 0.0000  4 Br 2.97, 2 Au 3.00
Au 0.0000 0.0000 0.5000  4 N 2.10
Br 0.5000 0.5000 0.0000  4 Sb 2.97
N 0.0000 0.5000 0.5000  2 Au 2.10
N 0.5000 0.0000 0.5000  2 Au 2.10

DFT (GGA-PBE) results for a geometry-optimized SrFe2Ru structure.

formation enthalpy at 0 K	745	meV per atom
space-group type	No. 71

abc: 5.6637 5.6637 5.6637
angles: 148.73 127.61 62.29
With the nearest neighbours (Å) after each atom.
Sites, in units of the cell vectors:
Sr 0.0000 0.0000 0.0000  4 Ru 2.93, 2 Sr 3.05, 8 Fe 3.19-3.23
Fe 0.2893 0.7893 0.5000  2 Ru 2.55
Fe 0.7107 0.2107 0.5000  2 Ru 2.55
Ru 0.5000 0.5000 0.0000  4 Fe 2.55

Number 1: total DFT energy (no corrections) -0.181 hartree per atom, D(E_F) 2.2 states/eV/f.u.. Number 2: total DFT energy (no corrections) -0.178 hartree per atom, D(E_F) 2.2 states/eV/f.u.. Number 3: total DFT energy (no corrections) -0.177 hartree per atom, D(E_F) 2.3 states/eV/f.u.. Number 4: total DFT energy (no corrections) -0.281 hartree per atom, D(E_F) 12.6 states/eV/f.u.. Number 5: total DFT energy (no corrections) -0.063 hartree per atom, D(E_F) 3.6 states/eV/f.u.. Number 6: total DFT energy (no corrections) -0.207 hartree per atom, D(E_F) 7.6 states/eV/f.u.. Number 7: total DFT energy (no corrections) -0.284 hartree per atom, D(E_F) 5.4 states/eV/f.u.. Number 8: total DFT energy (no corrections) -0.233 hartree per atom, D(E_F) 5.5 states/eV/f.u.. Number 9: total DFT energy (no corrections) -0.162 hartree per atom, D(E_F) 5.6 states/eV/f.u.. Number 10: total DFT energy (no corrections) -0.124 hartree per atom, D(E_F) 2.2 states/eV/f.u.. Number 11: total DFT energy (no corrections) -0.132 hartree per atom, D(E_F) 3.0 states/eV/f.u.. Number 12: total DFT energy (no corrections) -0.229 hartree per atom, D(E_F) 3.8 states/eV/f.u..